# AlHg2Te

A geometry-optimized AlHg2Te structure (PBE-GGA, Alexandria via LeMat-Bulk).

Output
Mass density   8.880 Mg/m³
E   -7.15 eV per formula unit
Formation energy without anion corrections   0.0841 eV/atom
Magnetization   0.000 μB per atom

Cell: 4.318 4.318 6.929 Å, 107.21 107.21 58.79°
Atoms (fractional coordinates):
Al (0.000, 0.000, 0.000)
Hg (0.260, 0.260, 0.780)
Hg (0.740, 0.740, 0.220)
Te (0.500, 0.500, 0.500)


# AlHgTe2

A geometry-optimized AlHgTe2 structure (PBE-GGA, Alexandria via LeMat-Bulk).

Output
Mass density   6.288 Mg/m³
E   -10.21 eV per formula unit
Formation energy without anion corrections   0.0292 eV/atom
Magnetization   0.000 μB per atom

Cell: 3.699 3.699 10.432 Å, 90.00 90.00 116.73°
Atoms (fractional coordinates):
Al (0.000, 0.000, 0.000)
Hg (0.000, 0.000, 0.500)
Te (0.500, 0.500, 0.182)
Te (0.500, 0.500, 0.818)


# Al2HgTe

A geometry-optimized Al2HgTe structure (PBE-GGA, Alexandria via LeMat-Bulk).

Output
Mass density   6.538 Mg/m³
E   -10.19 eV per formula unit
Formation energy without anion corrections   0.1844 eV/atom
Magnetization   0.000 μB per atom

Cell: 3.669 3.669 7.710 Å, 90.00 90.00 110.71°
Atoms (fractional coordinates):
Al (0.000, 0.000, 0.244)
Al (0.000, 0.000, 0.756)
Hg (0.500, 0.500, 0.000)
Te (0.500, 0.500, 0.500)


# AlHgTe

A geometry-optimized AlHgTe structure (PBE-GGA, Alexandria via LeMat-Bulk).

Output
Mass density   5.986 Mg/m³
E   -7.72 eV per formula unit
Formation energy without anion corrections   -0.1773 eV/atom
Magnetization   0.000 μB per atom

Cell: 8.130 8.130 8.130 Å, 150.22 57.54 131.98°
Atoms (fractional coordinates):
Al (0.183, 0.000, 0.183)
Al (0.817, 0.000, 0.817)
Hg (0.051, 0.051, 0.000)
Hg (0.677, 0.177, 0.500)
Te (0.382, 0.584, 0.798)
Te (0.786, 0.584, 0.202)


# AlHg2Te

A geometry-optimized AlHg2Te structure (PBE-GGA, Alexandria via LeMat-Bulk).

Output
Mass density   8.804 Mg/m³
E   -6.64 eV per formula unit
Formation energy without anion corrections   0.2118 eV/atom
Magnetization   0.000 μB per atom

Cell: 5.292 5.292 5.292 Å, 60.00 60.00 60.00°
Atoms (fractional coordinates):
Al (0.000, 0.000, 0.000)
Hg (0.250, 0.250, 0.250)
Hg (0.750, 0.750, 0.750)
Te (0.500, 0.500, 0.500)


# AlHgTe

A geometry-optimized AlHgTe structure (PBE-GGA, Alexandria via LeMat-Bulk).

Output
Mass density   5.461 Mg/m³
E   -7.82 eV per formula unit
Formation energy without anion corrections   -0.2117 eV/atom
Magnetization   0.000 μB per atom

Cell: 4.082 5.585 10.597 Å, 97.07 100.94 111.33°
Atoms (fractional coordinates):
Al (0.000, 0.000, 0.000)
Al (0.200, 0.456, 0.942)
Hg (0.804, 0.037, 0.552)
Hg (0.996, 0.551, 0.416)
Te (0.513, 0.880, 0.147)
Te (0.687, 0.577, 0.795)


# AlHg2Te

A geometry-optimized AlHg2Te structure (PBE-GGA, Alexandria via LeMat-Bulk).

Output
Mass density   8.973 Mg/m³
E   -7.07 eV per formula unit
Formation energy without anion corrections   0.1049 eV/atom
Magnetization   0.000 μB per atom

Cell: 3.145 3.933 8.332 Å, 90.00 93.67 90.00°
Atoms (fractional coordinates):
Al (0.000, 0.000, 0.000)
Hg (0.320, 0.500, 0.217)
Hg (0.680, 0.500, 0.783)
Te (0.500, 0.000, 0.500)


# AlHg2Te

A geometry-optimized AlHg2Te structure (PBE-GGA, Alexandria via LeMat-Bulk).

Output
Mass density   8.219 Mg/m³
E   -7.15 eV per formula unit
Formation energy without anion corrections   0.0836 eV/atom
Magnetization   0.000 μB per atom

Cell: 4.127 4.127 6.594 Å, 90.00 90.00 90.00°
Atoms (fractional coordinates):
Al (0.000, 0.000, 0.000)
Hg (0.000, 0.500, 0.500)
Hg (0.500, 0.000, 0.500)
Te (0.500, 0.500, 0.000)